[1]
## GeHI2 (PBE)

Data for crystalline GeHI2 at its relaxed geometry.

Output
The value obtained for the polymorph energy (0 for the lowest one) is 0 meV per atom.

Unit cell a=4.620 b=5.950 c=10.161 alpha=90.00 beta=103.14 gamma=90.00
Sites, in units of the cell vectors:
H 0.090 0.750 0.181
H 0.910 0.250 0.819
I 0.588 0.750 0.175
I 0.412 0.250 0.825
I 0.194 0.250 0.387
I 0.806 0.750 0.613
Ge 0.817 0.250 0.634
Ge 0.183 0.750 0.366


[2]
## Ge2H2I3 (PBE)

Data for crystalline Ge2H2I3 at its relaxed geometry.

Output
For the final energy, the calculation gives -20.28 eV for the cell shown.

Unit cell a=6.067 b=9.576 c=12.854 alpha=29.50 beta=132.99 gamma=110.90
Sites, in units of the cell vectors:
I 0.559 0.449 0.892
I 0.441 0.551 0.108
I 0.000 0.000 0.000
Ge 0.211 0.306 0.012
Ge 0.789 0.694 0.988
H 0.340 0.155 0.522
H 0.660 0.845 0.478


[3]
## GeH3I (PBE)

Data for crystalline GeH3I at its relaxed geometry.

Output
The value obtained for the polymorph energy (0 for the lowest one) is 623 meV per atom.

Unit cell a=3.952 b=3.952 c=3.952 alpha=90.00 beta=90.00 gamma=90.00
Sites, in units of the cell vectors:
I 0.500 0.500 0.500
H 0.000 0.000 0.500
H 0.500 0.000 0.000
H 0.000 0.500 0.000
Ge 0.000 0.000 0.000


[4]
## La4GeHI2 (PBE)

Data for crystalline La4GeHI2 at its relaxed geometry.

Output
For the final energy, the calculation gives -37.38 eV for the cell shown.

Unit cell a=4.213 b=7.339 c=8.186 alpha=106.15 beta=90.00 gamma=90.00
Sites, in units of the cell vectors:
I 0.500 0.000 0.500
I 0.000 0.500 0.500
La 0.500 0.743 0.809
La 0.000 0.723 0.200
La 0.000 0.277 0.800
La 0.500 0.257 0.191
Ge 0.000 0.000 0.000
H 0.500 0.500 0.000


[5]
## La8Ge3HI4 (PBE)

Data for crystalline La8Ge3HI4 at its relaxed geometry.

Output
For the final energy, the calculation gives -78.00 eV for the cell shown.

Unit cell a=8.727 b=9.258 c=8.729 alpha=118.13 beta=119.99 gamma=90.00
Sites, in units of the cell vectors:
La 0.736 0.707 0.471
La 0.232 0.702 0.971
La 0.768 0.298 0.029
La 0.739 0.702 0.971
La 0.264 0.293 0.529
La 0.261 0.298 0.029
La 0.768 0.297 0.536
La 0.232 0.703 0.464
I 0.000 0.000 0.500
I 0.500 0.000 0.000
I 0.500 0.000 0.500
I 0.000 0.000 0.000
Ge 0.500 0.500 0.000
Ge 0.000 0.500 0.500
Ge 0.500 0.500 0.500
H 0.000 0.500 0.000


[6]
## Ge2MoHI (PBE)

Data for crystalline Ge2MoHI at its relaxed geometry.

Output
For the final energy, the calculation gives -18.61 eV for the cell shown.

Unit cell a=5.533 b=3.444 c=5.533 alpha=90.00 beta=90.00 gamma=90.00
Sites, in units of the cell vectors:
I 0.000 0.000 0.000
H 0.000 0.500 0.000
Ge 0.000 0.000 0.500
Ge 0.500 0.000 0.000
Mo 0.500 0.500 0.500


[7]
## GeHI2N (PBE)

Data for crystalline GeHI2N at its relaxed geometry.

Output
The value obtained for the polymorph energy (0 for the lowest one) is 153 meV per atom.

Unit cell a=6.383 b=6.383 c=2.907 alpha=90.00 beta=90.00 gamma=90.00
Sites, in units of the cell vectors:
I 0.000 0.500 0.000
I 0.500 0.000 0.000
H 0.000 0.000 0.000
N 0.000 0.000 0.500
Ge 0.500 0.500 0.500


[8]
## GeHIN2 (PBE)

Data for crystalline GeHIN2 at its relaxed geometry.

Output
The value obtained for the polymorph energy (0 for the lowest one) is 0 meV per atom.

Unit cell a=3.612 b=3.612 c=7.664 alpha=90.00 beta=90.00 gamma=90.00
Sites, in units of the cell vectors:
I 0.000 0.000 0.500
N 0.500 0.000 0.000
N 0.000 0.500 0.000
H 0.500 0.500 0.500
Ge 0.000 0.000 0.000